# Ho6Bi5Te (PBE-GGA, relaxed)
# energy relative to the elements, uncorrected = -0.93 eV/atom
# DOS(E_F) = 0.24 states/eV per atom
data_Ho6Bi5Te
_chemical_formula_sum 'Ho12 Bi10 Te2'
_space_group_name_H-M_alt 'C 1 2/m 1'
_space_group_IT_number 12
_space_group_name_Hall '-C 2y'
_cell_length_a 7.691
_cell_length_b 13.315
_cell_length_c 7.690
_cell_angle_alpha 90.00
_cell_angle_beta 109.45
_cell_angle_gamma 90.00
loop_
_atom_site_label
_atom_site_type_symbol
_atom_site_fract_x
_atom_site_fract_y
_atom_site_fract_z
Ho1 Ho 0.249 0.000 0.252
Ho2 Ho 0.249 0.167 0.749
Bi1 Bi 0.000 0.000 0.500
Bi2 Bi 0.000 0.167 0.000
Bi3 Bi 0.000 0.334 0.500
Te1 Te 0.000 0.500 0.000

# Eu2ZnSb (PBE-GGA, relaxed)
# energy relative to the elements, uncorrected = -0.64 eV/atom
# DOS(E_F) = 0.63 states/eV per atom
# excess energy over the best structure of this formula in the dataset = 0.019 eV per atom
data_Eu2ZnSb
_chemical_formula_sum 'Eu8 Zn4 Sb4'
_space_group_name_H-M_alt 'F m -3 m'
_space_group_IT_number 225
_space_group_name_Hall '-F 4 2 3'
_cell_length_a 7.711
_cell_length_b 7.711
_cell_length_c 7.711
_cell_angle_alpha 90.00
_cell_angle_beta 90.00
_cell_angle_gamma 90.00
loop_
_atom_site_label
_atom_site_type_symbol
_atom_site_fract_x
_atom_site_fract_y
_atom_site_fract_z
Eu1 Eu 0.250 0.250 0.250
Zn1 Zn 0.000 0.000 0.000
Sb1 Sb 0.000 0.000 0.500